Entry 1:
The following is a PBE calculation of an optimized crystal structure of CrAs2H, from the Alexandria database.

abc: 6.050 6.050 6.050
angles: 90.00 90.00 90.00
Fractional positions:
Cr (0.000, 0.000, 0.000)
Cr (0.000, 0.500, 0.500)
Cr (0.500, 0.000, 0.500)
Cr (0.500, 0.500, 0.000)
As (0.250, 0.250, 0.250)
As (0.250, 0.250, 0.750)
As (0.250, 0.750, 0.250)
As (0.250, 0.750, 0.750)
As (0.750, 0.250, 0.250)
As (0.750, 0.250, 0.750)
As (0.750, 0.750, 0.250)
As (0.750, 0.750, 0.750)
H (0.000, 0.000, 0.500)
H (0.000, 0.500, 0.000)
H (0.500, 0.000, 0.000)
H (0.500, 0.500, 0.500)

Magnetic moment ... 11.998 μB/cell
Excess energy over the best structure of this formula in the dataset ... 119 meV/atom
E ... -5.06 eV/atom

=====

Entry 2:
The following is a PBE calculation of an optimized crystal structure of La2YPt, from the Alexandria database.

abc: 3.812 5.442 11.421
angles: 90.00 90.00 90.00
Fractional positions:
La (0.000, 0.000, 0.198)
La (0.000, 0.000, 0.802)
La (0.500, 0.500, 0.302)
La (0.500, 0.500, 0.698)
Y (0.000, 0.500, 0.000)
Y (0.500, 0.000, 0.500)
Pt (0.000, 0.500, 0.500)
Pt (0.500, 0.000, 0.000)

Magnetic moment ... 0.004 μB/cell
Excess energy over the best structure of this formula in the dataset ... 112 meV/atom
Calculated formation energy ... -2.149 eV/f.u.
E ... -6.13 eV/atom